(1)
# ScCrAs2

A relaxed structure of ScCrAs2 (GGA-PBE, the Alexandria database).

Results
M_tot   0.765 μB per atom
E above lowest polymorph   0.088 eV/atom
Density of states at the Fermi level   2.19 states/eV per cell

abc: 3.7710 3.7709 5.3596
angles: 90.00 90.00 90.00
With the nearest neighbours (Å) after each atom.
Positions (direct):
Cr (0.0000, 0.0000, 0.3766)  6 As 2.67-2.68
Sc (0.5000, 0.5000, 0.8737)  6 As 2.67-2.68
As (0.5000, 0.5000, 0.3738)  4 Cr 2.67, 2 Sc 2.68
As (0.0000, 0.0000, 0.8759)  4 Sc 2.67, 2 Cr 2.68

=====

(2)
# ScCr2As

A relaxed structure of ScCr2As (GGA-PBE, the Alexandria database).

Results
M_tot   0.006 μB per atom
Density of states at the Fermi level   3.02 states/eV per cell

abc: 3.0501 3.0501 6.5355
angles: 90.00 90.00 89.96
With the nearest neighbours (Å) after each atom.
Positions (direct):
Cr (0.0000, 0.0000, 0.0082)  4 Cr 2.49, 4 As 2.54-2.55
Cr (0.5000, 0.5000, 0.1997)  4 Cr 2.49, 1 As 2.60
Sc (0.0000, 0.0000, 0.4906)  5 Cr 2.87-3.15, 4 As 2.96, 4 Sc 3.05
As (0.5000, 0.5000, 0.8015)  5 Cr 2.54-2.60

=====

(3)
# ScCr2As

A relaxed structure of ScCr2As (GGA-PBE, the Alexandria database).

Results
M_tot   0.027 μB per atom
Density of states at the Fermi level   5.88 states/eV per cell

abc: 5.0789 5.0789 5.0789
angles: 138.11 137.03 61.56
With the nearest neighbours (Å) after each atom.
Positions (direct):
Cr (0.0001, 0.0001, 0.0000)  4 Cr 2.60, 4 As 2.84-2.87, 4 Sc 2.84-2.87
Cr (0.4999, 0.4999, 0.0000)  4 Cr 2.60, 4 As 2.84-2.87, 4 Sc 2.84-2.87
As (0.2500, 0.7500, 0.5000)  4 Sc 2.60, 8 Cr 2.84-2.87
Sc (0.7500, 0.2500, 0.5000)  4 As 2.60, 8 Cr 2.84-2.87

=====

(4)
# ScCrAs2

A relaxed structure of ScCrAs2 (GGA-PBE, the Alexandria database).

Results
M_tot   0.717 μB per atom
E above lowest polymorph   0.249 eV/atom
Density of states at the Fermi level   1.43 states/eV per cell

abc: 4.7989 4.7989 4.7989
angles: 132.09 111.72 87.69
With the nearest neighbours (Å) after each atom.
Positions (direct):
As (0.4795, 0.4795, 0.0000)  2 Cr 2.51, 2 Sc 2.70
As (0.0205, 0.0205, 0.0000)  2 Cr 2.51, 2 Sc 2.70
Cr (0.2500, 0.7500, 0.5000)  4 As 2.51
Sc (0.7500, 0.2500, 0.5000)  4 As 2.70

=====

(5)
# ScCrAs2

A relaxed structure of ScCrAs2 (GGA-PBE, the Alexandria database).

Results
M_tot   0.661 μB per atom
E above lowest polymorph   0.106 eV/atom
Density of states at the Fermi level   1.49 states/eV per cell

abc: 3.7741 3.7741 6.4332
angles: 72.94 72.94 60.00
With the nearest neighbours (Å) after each atom.
Positions (direct):
Cr (0.4969, 0.4969, 0.5093)  6 As 2.56-2.62
As (0.0893, 0.0893, 0.7322)  3 Cr 2.56, 3 Sc 2.68, 1 As 2.80
As (0.2436, 0.2436, 0.2691)  3 Cr 2.62, 3 Sc 2.76, 1 As 2.80
Sc (0.6702, 0.6702, 0.9894)  6 As 2.68-2.76

=====

(6)
# ScCr2As

A relaxed structure of ScCr2As (GGA-PBE, the Alexandria database).

Results
M_tot   0.022 μB per atom
Density of states at the Fermi level   1.58 states/eV per cell

abc: 3.9820 3.3242 5.2954
angles: 71.82 90.00 90.00
With the nearest neighbours (Å) after each atom.
Positions (direct):
As (0.5000, 0.9501, 0.7237)  4 Cr 2.59-2.69, 4 Sc 2.69
Sc (0.0000, 0.5224, 0.5786)  3 Cr 2.65-2.91, 4 As 2.69
Cr (0.0000, 0.7874, 0.0528)  2 As 2.59, 4 Cr 2.63-2.64, 1 Sc 2.65
Cr (0.5000, 0.2401, 0.1450)  4 Cr 2.63-2.64, 3 As 2.69-2.91

=====

Listing formation energy from the elements for the structures above in their given order: -621; -89; 86; -460; -602; -149 meV per atom.
Listing calculated total energy for the structures above in their given order: -27.736; -30.583; -29.882; -27.092; -27.661; -30.824 eV for the cell shown.